K4CuAg | PBEsol | optimized geometry

```
data_K4CuAg
_symmetry_space_group_name_H-M 'F -4 3 m'
_symmetry_Int_Tables_number 216
_symmetry_space_group_name_Hall 'F -4 2 3'
_cell_length_a 9.901
_cell_length_b 9.901
_cell_length_c 9.901
_cell_angle_alpha 90.00
_cell_angle_beta 90.00
_cell_angle_gamma 90.00
loop_
_atom_site_label
_atom_site_type_symbol
_atom_site_fract_x
_atom_site_fract_y
_atom_site_fract_z
K1 K 0.125 0.125 0.125
Cu1 Cu 0.000 0.000 0.500
Ag1 Ag 0.250 0.250 0.750
```

Summary:
E_form in eV/atom: 0.676
Fermi-level density of states in states/eV/f.u.: 2.9
Crystal system: cubic
Total energy in eV per cell: -32.49